Hf2AuO: relaxed, PBE-GGA.

## Properties
Its energy is -8.452 eV/atom. As for the space group: Cmcm, No. 63.

Cell and atoms, written as POSCAR:
```
Hf2AuO
1.0
1.626 -8.650 0.000
1.626 8.650 0.000
0.000 0.000 4.446
Hf Au O
4 2 2
Direct
0.104 0.896 0.750
0.292 0.708 0.750
0.708 0.292 0.250
0.896 0.104 0.250
0.452 0.548 0.750
0.548 0.452 0.250
0.303 0.697 0.250
0.697 0.303 0.750
```